Entry from Alexandria: CoPbBr2 at its PBEsol-relaxed geometry (SCAN).

The structure in POSCAR format:
```
CoPbBr2
1.0
-1.762 2.589 5.240
1.762 -2.589 5.240
1.762 2.589 -5.240
Co Pb Br
1 1 2
Cartesian
0.000 0.000 0.000
0.000 0.000 5.240
1.762 0.000 1.724
0.000 2.589 3.516
```

Results
Formation energy from raw total energies   -246 meV/atom



Entry from Alexandria: Mn5Sb at its PBEsol-relaxed geometry (SCAN).

The structure in POSCAR format:
```
Mn5Sb
1.0
1.880 -5.156 0.000
1.880 5.156 0.000
0.000 0.000 3.763
Mn Sb
5 1
Cartesian
0.000 0.000 0.000
1.880 3.257 1.881
1.880 1.896 0.000
1.880 -1.896 0.000
1.880 -3.257 1.881
1.880 0.000 1.881
```

Results
Formation energy from raw total energies   -9 meV/atom



Entry from Alexandria: ScSiMo2 at its PBEsol-relaxed geometry (SCAN).

The structure in POSCAR format:
```
ScSiMo2
1.0
4.715 -1.634 0.000
4.715 1.634 0.000
-1.510 0.000 4.089
Sc Si Mo
1 1 2
Cartesian
0.000 0.000 0.000
3.959 0.000 2.044
1.218 0.000 2.972
6.701 0.000 1.117
```

Results
Formation energy from raw total energies   -61 meV/atom



Entry from Alexandria: TiNbB2 at its PBEsol-relaxed geometry (SCAN).

The structure in POSCAR format:
```
TiNbB2
1.0
-2.473 2.473 4.920
2.473 -2.473 4.920
2.473 2.473 -4.920
Ti Nb B
2 2 4
Cartesian
0.000 0.000 0.000
0.000 2.473 2.460
2.473 0.000 2.460
0.000 0.000 4.920
3.709 1.232 -1.230
1.232 1.236 1.230
-1.236 1.240 3.690
1.240 1.236 6.150
```

Results
Raw total energy   -15.42 eV per atom



Entry from Alexandria: Ni8Sb at its PBEsol-relaxed geometry (SCAN).

The structure in POSCAR format:
```
Ni8Sb
1.0
-3.754 3.754 1.792
3.754 -3.754 1.792
3.754 3.754 -1.792
Ni Sb
8 1
Cartesian
2.555 0.000 0.000
4.953 0.000 0.000
2.458 2.458 0.000
1.296 -1.296 1.792
0.000 2.555 0.000
0.000 4.953 0.000
-1.296 1.296 1.792
1.296 1.296 1.792
0.000 0.000 0.000
```

Results
Formation energy from raw total energies   -1 meV/atom



Entry from Alexandria: AsIr2Rh at its PBEsol-relaxed geometry (SCAN).

The structure in POSCAR format:
```
AsIr2Rh
1.0
-1.977 1.977 3.645
1.977 -1.977 3.645
1.977 1.977 -3.645
As Ir Rh
1 2 1
Cartesian
0.000 0.000 0.000
1.977 0.000 1.823
0.000 1.977 1.823
0.000 0.000 3.645
```

Results
Raw total energy   -48.85 eV per atom



Entry from Alexandria: ErZnCuP2 at its PBEsol-relaxed geometry (SCAN).

The structure in POSCAR format:
```
ErZnCuP2
1.0
3.901 0.000 0.000
-1.950 3.378 0.000
0.000 0.000 6.404
Er Zn Cu P
1 1 1 2
Cartesian
0.000 0.000 0.000
1.950 1.126 3.913
0.000 2.252 2.201
0.000 2.252 4.694
1.950 1.126 1.533
```

Results
Raw total energy   -20.84 eV per atom



Entry from Alexandria: Au at its PBEsol-relaxed geometry (SCAN).

The structure in POSCAR format:
```
Au
1.0
-1.721 1.721 1.441
1.721 -1.721 1.441
1.721 1.721 -1.441
Au
1
Cartesian
0.000 0.000 0.000
```

Results
Raw total energy   -69.15 eV per atom



Entry from Alexandria: AlIn2I at its PBEsol-relaxed geometry (SCAN).

The structure in POSCAR format:
```
AlIn2I
1.0
-3.264 3.264 6.874
3.264 -3.264 6.874
3.264 3.264 -6.874
Al In I
2 4 2
Cartesian
0.000 0.000 0.000
0.000 3.264 3.437
4.896 1.180 -1.718
1.180 1.632 1.718
-1.632 2.083 5.155
2.083 1.632 8.592
3.264 0.000 3.437
0.000 0.000 6.874
```

Results
Formation energy from raw total energies   59 meV/atom



Entry from Alexandria: HfRu3O at its PBEsol-relaxed geometry (SCAN).

The structure in POSCAR format:
```
HfRu3O
1.0
4.050 0.000 0.000
0.000 4.050 0.000
0.000 0.000 4.050
Hf Ru O
1 3 1
Cartesian
0.000 0.000 0.000
0.000 2.025 2.025
2.025 0.000 2.025
2.025 2.025 0.000
2.025 2.025 2.025
```

Results
Formation energy from raw total energies   -298 meV/atom



Entry from Alexandria: Tl2AsOs at its PBEsol-relaxed geometry (SCAN).

The structure in POSCAR format:
```
Tl2AsOs
1.0
3.355 0.000 0.000
0.000 4.637 0.000
0.000 0.000 5.082
Tl As Os
2 1 1
Cartesian
0.000 0.000 0.000
1.677 0.000 2.541
0.000 2.319 2.541
1.677 2.319 0.000
```

Results
Raw total energy   -58.16 eV per atom



Entry from Alexandria: K3NaP4H4O14 at its PBEsol-relaxed geometry (SCAN).

The structure in POSCAR format:
```
K3NaP4H4O14
1.0
8.704 -3.614 0.000
8.704 3.614 0.000
-1.774 0.000 11.078
K Na P H O
6 2 8 8 28
Cartesian
7.373 2.839 8.309
6.283 1.436 0.024
10.237 1.436 5.515
5.396 -1.436 5.563
9.350 -1.436 11.054
8.260 -2.839 2.770
3.465 1.807 5.539
4.352 -1.807 0.000
2.075 0.354 8.463
6.714 1.511 4.229
2.962 -0.354 2.924
9.807 1.511 1.310
5.826 -1.511 9.768
12.671 0.354 8.154
8.920 -1.511 6.849
13.558 -0.354 2.615
3.912 1.541 8.151
7.228 0.081 2.661
6.341 -0.081 8.200
10.834 1.541 8.466
4.799 -1.541 2.612
9.293 0.081 2.878
8.405 -0.081 8.417
11.721 -1.541 2.927
2.387 0.927 2.331
5.914 2.071 2.915
3.380 0.748 7.671
2.286 0.363 9.948
7.967 2.307 4.401
8.553 2.307 1.138
5.794 1.292 5.389
3.173 -0.363 4.409
1.500 -0.927 7.870
10.607 2.071 2.624
4.267 -0.748 2.132
7.076 0.033 3.629
10.727 1.292 0.150
6.189 -0.033 9.168
9.444 0.033 1.910
4.907 -1.292 10.928
8.557 -0.033 7.449
11.366 0.748 8.946
5.026 -2.071 8.454
14.133 0.927 3.208
12.460 0.363 6.669
9.839 -1.292 5.689
7.080 -2.307 9.940
7.666 -2.307 6.677
13.348 -0.363 1.130
12.253 -0.748 3.407
9.720 -2.071 8.163
13.246 -0.927 8.747
```

Results
Raw total energy   -8.75 eV per atom



Entry from Alexandria: HoInPd2 at its PBEsol-relaxed geometry (SCAN).

The structure in POSCAR format:
```
HoInPd2
1.0
0.000 3.328 3.328
3.328 0.000 3.328
3.328 3.328 0.000
Ho In Pd
1 1 2
Cartesian
0.000 0.000 0.000
3.328 3.328 3.328
1.664 1.664 1.664
4.993 4.993 4.993
```

Results
Raw total energy   -37.88 eV per atom



Entry from Alexandria: Sr3CaRh at its PBEsol-relaxed geometry (SCAN).

The structure in POSCAR format:
```
Sr3CaRh
1.0
5.815 0.000 0.000
0.000 5.815 0.000
0.000 0.000 5.815
Sr Ca Rh
3 1 1
Cartesian
0.000 0.000 2.907
0.000 2.907 0.000
2.907 0.000 0.000
2.907 2.907 2.907
0.000 0.000 0.000
```

Results
Raw total energy   -22.18 eV per atom



Entry from Alexandria: Co2AsRh at its PBEsol-relaxed geometry (SCAN).

The structure in POSCAR format:
```
Co2AsRh
1.0
0.000 2.901 2.901
2.901 0.000 2.901
2.901 2.901 0.000
Co As Rh
2 1 1
Cartesian
0.000 0.000 0.000
1.451 1.451 1.451
2.901 2.901 2.901
4.352 4.352 4.352
```

Results
Raw total energy   -22.26 eV per atom



Entry from Alexandria: SrCdRh at its PBEsol-relaxed geometry (SCAN).

The structure in POSCAR format:
```
SrCdRh
1.0
0.000 3.422 3.422
3.422 0.000 3.422
3.422 3.422 0.000
Sr Cd Rh
1 1 1
Cartesian
0.000 0.000 0.000
5.133 5.133 5.133
1.711 1.711 1.711
```

Results
Raw total energy   -28.21 eV per atom



Entry from Alexandria: CaFe2Tc at its PBEsol-relaxed geometry (SCAN).

The structure in POSCAR format:
```
CaFe2Tc
1.0
2.820 0.000 0.000
0.000 4.480 0.000
0.000 0.000 4.639
Ca Fe Tc
1 2 1
Cartesian
0.000 0.000 0.000
0.000 2.240 2.320
1.410 2.240 0.000
1.410 0.000 2.320
```

Results
Raw total energy   -19.41 eV per atom



Entry from Alexandria: YScAl2Ge at its PBEsol-relaxed geometry (SCAN).

The structure in POSCAR format:
```
YScAl2Ge
1.0
5.288 0.000 0.000
0.000 5.288 0.000
0.000 0.000 5.008
Y Sc Al Ge
1 1 2 1
Cartesian
0.000 0.000 0.000
0.000 0.000 2.504
0.000 2.644 0.000
2.644 0.000 0.000
2.644 2.644 2.504
```

Results
Raw total energy   -14.02 eV per atom



Entry from Alexandria: La4NiHg at its PBEsol-relaxed geometry (SCAN).

The structure in POSCAR format:
```
La4NiHg
1.0
0.000 4.380 4.380
4.380 0.000 4.380
4.380 4.380 0.000
La Ni Hg
4 1 1
Cartesian
1.090 1.090 1.090
3.290 3.290 1.090
3.290 1.090 3.290
1.090 3.290 3.290
6.570 6.570 6.570
4.380 4.380 4.380
```

Results
Raw total energy   -42.26 eV per atom



Entry from Alexandria: La2SbWF at its PBEsol-relaxed geometry (SCAN).

The structure in POSCAR format:
```
La2SbWF
1.0
6.060 0.000 0.000
0.000 6.060 0.000
0.000 0.000 4.174
La Sb W F
2 1 1 1
Cartesian
0.000 3.030 0.000
3.030 0.000 0.000
0.000 0.000 0.000
3.030 3.030 2.087
0.000 0.000 2.087
```

Results
Formation energy from raw total energies   360 meV/atom